Entry 1:
Entry from the Alexandria database: crystalline Sr3Li2Pm2Tl4 at its relaxed geometry (PBE).

ΔH_f (0 K) (eV per atom): -0.183
E_tot (eV/atom): -2.71
Calculated volume (Å³/f.u.): 365.2

```
data_Sr3Li2Pm2Tl4
_chemical_formula_sum 'Sr3 Li2 Pm2 Tl4'
_space_group_name_H-M_alt 'P -3 m 1'
_space_group_IT_number 164
_space_group_name_Hall '-P 3 2"'
_cell_length_a 5.3229
_cell_length_b 5.3229
_cell_length_c 14.8827
_cell_angle_alpha 90.00
_cell_angle_beta 90.00
_cell_angle_gamma 120.00
loop_
_atom_site_label
_atom_site_type_symbol
_atom_site_fract_x
_atom_site_fract_y
_atom_site_fract_z
Sr1 Sr 0.0000 0.0000 0.0000
Sr2 Sr 0.0000 0.0000 0.2592
Li1 Li 0.3333 0.6667 0.1455
Pm1 Pm 0.3333 0.6667 0.5715
Tl1 Tl 0.3333 0.6667 0.3572
Tl2 Tl 0.3333 0.6667 0.8653
```

Entry 2:
Entry from the Alexandria database: crystalline SrLi2PmTl4 at its relaxed geometry (PBE).

ΔH_f (0 K) (eV per atom): -0.314
E_tot (eV/atom): -2.78
Calculated volume (Å³/f.u.): 215.6

```
data_SrLi2PmTl4
_chemical_formula_sum 'Sr3 Li6 Pm3 Tl12'
_space_group_name_H-M_alt 'R -3 m'
_space_group_IT_number 166
_space_group_name_Hall '-R 3 2"'
_cell_length_a 5.3411
_cell_length_b 5.3411
_cell_length_c 26.1826
_cell_angle_alpha 90.00
_cell_angle_beta 90.00
_cell_angle_gamma 120.00
loop_
_atom_site_label
_atom_site_type_symbol
_atom_site_fract_x
_atom_site_fract_y
_atom_site_fract_z
Sr1 Sr 0.0000 0.0000 0.0000
Li1 Li 0.0000 0.0000 0.2491
Pm1 Pm 0.0000 0.0000 0.5000
Tl1 Tl 0.0000 0.0000 0.1272
Tl2 Tl 0.0000 0.0000 0.3770
```